# GGA-PBE Dy2Cd8Ag, relaxed
data_Dy2Cd8Ag
_chemical_formula_sum 'Dy2 Cd8 Ag1'
_symmetry_space_group_name_H-M 'P 1'
_symmetry_Int_Tables_number 1
_symmetry_space_group_name_Hall 'P 1'
_cell_length_a 8.977
_cell_length_b 8.977
_cell_length_c 6.514
_cell_angle_alpha 102.90
_cell_angle_beta 102.90
_cell_angle_gamma 30.24
loop_
_atom_site_label
_atom_site_fract_x
_atom_site_fract_y
_atom_site_fract_z
Dy1 0.219 0.219 0.181
Dy2 0.781 0.781 0.819
Cd1 0.026 0.026 0.232
Cd2 0.151 0.151 0.670
Cd3 0.354 0.354 0.617
Cd4 0.400 0.400 0.080
Cd5 0.600 0.600 0.920
Cd6 0.646 0.646 0.383
Cd7 0.849 0.849 0.330
Cd8 0.974 0.974 0.768
Ag1 0.500 0.500 0.500
# Crystal system = monoclinic



# GGA-PBE Dy3Cd2Ag2, relaxed
data_Dy3Cd2Ag2
_chemical_formula_sum 'Dy3 Cd2 Ag2'
_symmetry_space_group_name_H-M 'P 1'
_symmetry_Int_Tables_number 1
_symmetry_space_group_name_Hall 'P 1'
_cell_length_a 11.142
_cell_length_b 11.142
_cell_length_c 3.449
_cell_angle_alpha 90.00
_cell_angle_beta 90.00
_cell_angle_gamma 156.51
loop_
_atom_site_label
_atom_site_fract_x
_atom_site_fract_y
_atom_site_fract_z
Dy1 0.000 0.000 0.000
Dy2 0.161 0.839 0.000
Dy3 0.839 0.161 0.000
Cd1 0.423 0.577 0.500
Cd2 0.577 0.423 0.500
Ag1 0.287 0.713 0.500
Ag2 0.713 0.287 0.500
# Crystal system = orthorhombic



# GGA-PBE DyCd2Ag3, relaxed
data_DyCd2Ag3
_chemical_formula_sum 'Dy2 Cd4 Ag6'
_symmetry_space_group_name_H-M 'P 1'
_symmetry_Int_Tables_number 1
_symmetry_space_group_name_Hall 'P 1'
_cell_length_a 4.818
_cell_length_b 4.818
_cell_length_c 12.692
_cell_angle_alpha 90.00
_cell_angle_beta 90.00
_cell_angle_gamma 120.00
loop_
_atom_site_label
_atom_site_fract_x
_atom_site_fract_y
_atom_site_fract_z
Dy1 0.000 0.000 0.250
Dy2 0.000 0.000 0.750
Cd1 0.333 0.667 0.095
Cd2 0.333 0.667 0.405
Cd3 0.667 0.333 0.595
Cd4 0.667 0.333 0.905
Ag1 0.000 0.000 0.000
Ag2 0.000 0.000 0.500
Ag3 0.333 0.667 0.636
Ag4 0.333 0.667 0.864
Ag5 0.667 0.333 0.136
Ag6 0.667 0.333 0.364
# Crystal system = hexagonal



M_tot (computed, μB/f.u.): 0.0; 0.0; 0.0
ΔE_f (computed, eV per atom): -0.16; -0.28; -0.19